Model 1:
Density functional theory data (PBE) for an optimized crystal structure of KTaPb2.

Unit cell a=3.163 b=4.817 c=16.977 alpha=90.00 beta=90.00 gamma=90.00
Atoms (fractional coordinates):
K (0.000, 0.000, 0.000)
K (0.500, 0.500, 0.500)
Ta (0.000, 0.500, 0.288)
Ta (0.500, 0.000, 0.788)
Pb (0.000, 0.000, 0.641)
Pb (0.000, 0.500, 0.819)
Pb (0.500, 0.000, 0.319)
Pb (0.500, 0.500, 0.141)

Output
ρ: 8.14 g cm⁻³

Model 2:
Density functional theory data (PBE) for an optimized crystal structure of KTaPb2.

Unit cell a=6.683 b=6.683 c=16.892 alpha=90.00 beta=90.00 gamma=90.00
Atoms (fractional coordinates):
K (0.000, 0.000, 0.000)
K (0.000, 0.500, 0.250)
K (0.500, 0.000, 0.750)
K (0.500, 0.500, 0.500)
Ta (0.000, 0.000, 0.500)
Ta (0.000, 0.500, 0.750)
Ta (0.500, 0.000, 0.250)
Ta (0.500, 0.500, 0.000)
Pb (0.056, 0.250, 0.625)
Pb (0.250, 0.556, 0.875)
Pb (0.250, 0.944, 0.375)
Pb (0.444, 0.250, 0.125)
Pb (0.556, 0.750, 0.125)
Pb (0.750, 0.056, 0.375)
Pb (0.750, 0.444, 0.875)
Pb (0.944, 0.750, 0.625)

Output
ρ: 5.59 g cm⁻³

So which one is most stable? That would be model 1, about 317 meV per atom below the next structure.

Model 1:
Density functional theory data (PBE) for an optimized crystal structure of KTaPb2.

Unit cell a=4.015 b=5.027 c=11.405 alpha=90.00 beta=90.00 gamma=90.00
Atoms (fractional coordinates):
K (0.000, 0.000, 0.000)
K (0.500, 0.500, 0.000)
Ta (0.000, 0.500, 0.267)
Ta (0.500, 0.000, 0.267)
Pb (0.000, 0.000, 0.460)
Pb (0.000, 0.500, 0.715)
Pb (0.500, 0.000, 0.715)
Pb (0.500, 0.500, 0.460)

Output
ρ: 9.15 g cm⁻³

Model 2:
Density functional theory data (PBE) for an optimized crystal structure of KTaPb2.

Unit cell a=3.958 b=3.958 c=9.003 alpha=90.00 beta=90.00 gamma=90.00
Atoms (fractional coordinates):
K (0.000, 0.000, 0.000)
Ta (0.500, 0.500, 0.590)
Pb (0.000, 0.000, 0.610)
Pb (0.500, 0.500, 0.278)

Output
ρ: 7.47 g cm⁻³

Model 3:
Density functional theory data (PBE) for an optimized crystal structure of KTaPb2.

Unit cell a=4.987 b=4.987 c=8.532 alpha=90.00 beta=90.00 gamma=90.00
Atoms (fractional coordinates):
K (0.000, 0.000, 0.000)
K (0.500, 0.500, 0.500)
Ta (0.000, 0.000, 0.500)
Ta (0.500, 0.500, 0.000)
Pb (0.000, 0.500, 0.250)
Pb (0.000, 0.500, 0.750)
Pb (0.500, 0.000, 0.250)
Pb (0.500, 0.000, 0.750)

Output
ρ: 9.93 g cm⁻³

So which one is most stable? That would be model 2, about 97 meV per atom below the next structure.

Model 1:
Density functional theory data (PBE) for an optimized crystal structure of KTaPb2.

Unit cell a=5.788 b=5.788 c=3.151 alpha=90.00 beta=90.00 gamma=90.00
Atoms (fractional coordinates):
K (0.000, 0.000, 0.000)
Ta (0.500, 0.500, 0.000)
Pb (0.000, 0.500, 0.500)
Pb (0.500, 0.000, 0.500)

Output
ρ: 9.98 g cm⁻³

Model 2:
Density functional theory data (PBE) for an optimized crystal structure of KTaPb2.

Unit cell a=7.306 b=9.079 c=3.153 alpha=90.00 beta=90.00 gamma=90.00
Atoms (fractional coordinates):
K (0.000, 0.000, 0.000)
K (0.500, 0.500, 0.000)
Ta (0.000, 0.500, 0.000)
Ta (0.500, 0.000, 0.000)
Pb (0.250, 0.250, 0.500)
Pb (0.250, 0.750, 0.500)
Pb (0.750, 0.250, 0.500)
Pb (0.750, 0.750, 0.500)

Output
ρ: 10.07 g cm⁻³

Model 3:
Density functional theory data (PBE) for an optimized crystal structure of KTaPb2.

Unit cell a=3.394 b=3.394 c=32.232 alpha=90.00 beta=90.00 gamma=120.00
Atoms (fractional coordinates):
K (0.000, 0.000, 0.000)
K (0.333, 0.667, 0.667)
K (0.667, 0.333, 0.333)
Ta (0.000, 0.000, 0.500)
Ta (0.333, 0.667, 0.167)
Ta (0.667, 0.333, 0.833)
Pb (0.000, 0.000, 0.240)
Pb (0.000, 0.000, 0.760)
Pb (0.333, 0.667, 0.427)
Pb (0.333, 0.667, 0.907)
Pb (0.667, 0.333, 0.093)
Pb (0.667, 0.333, 0.573)

Output
ρ: 9.83 g cm⁻³

So which one is most stable? That would be model 3, about 350 meV per atom below the next structure.

Model 1:
Density functional theory data (PBE) for an optimized crystal structure of KTaPb2.

Unit cell a=4.474 b=4.474 c=10.582 alpha=90.00 beta=90.00 gamma=90.00
Atoms (fractional coordinates):
K (0.000, 0.000, 0.000)
K (0.500, 0.500, 0.500)
Ta (0.000, 0.500, 0.250)
Ta (0.500, 0.000, 0.750)
Pb (0.000, 0.000, 0.500)
Pb (0.000, 0.500, 0.750)
Pb (0.500, 0.000, 0.250)
Pb (0.500, 0.500, 0.000)

Output
ρ: 9.95 g cm⁻³

Model 2:
Density functional theory data (PBE) for an optimized crystal structure of KTaPb2.

Unit cell a=3.273 b=3.273 c=9.923 alpha=90.00 beta=90.00 gamma=90.00
Atoms (fractional coordinates):
K (0.000, 0.000, 0.000)
Ta (0.000, 0.000, 0.500)
Pb (0.500, 0.500, 0.285)
Pb (0.500, 0.500, 0.715)

Output
ρ: 9.91 g cm⁻³

Model 3:
Density functional theory data (PBE) for an optimized crystal structure of KTaPb2.

Unit cell a=9.565 b=3.257 c=7.690 alpha=90.00 beta=97.34 gamma=90.00
Atoms (fractional coordinates):
K (0.000, 0.000, 0.000)
K (0.500, 0.500, 0.000)
Ta (0.000, 0.500, 0.500)
Ta (0.500, 0.000, 0.500)
Pb (0.237, 0.000, 0.688)
Pb (0.263, 0.500, 0.312)
Pb (0.737, 0.500, 0.688)
Pb (0.763, 0.000, 0.312)

Output
ρ: 8.87 g cm⁻³

So which one is most stable? That would be model 2, about 212 meV per atom below the next structure.

Model 1:
Density functional theory data (PBE) for an optimized crystal structure of KTaPb3.

Unit cell a=5.647 b=5.647 c=5.647 alpha=90.00 beta=90.00 gamma=90.00
Atoms (fractional coordinates):
K (0.000, 0.000, 0.000)
Ta (0.500, 0.500, 0.500)
Pb (0.000, 0.000, 0.500)
Pb (0.000, 0.500, 0.000)
Pb (0.500, 0.000, 0.000)

Output
ρ: 7.76 g cm⁻³

Model 2:
Density functional theory data (PBE) for an optimized crystal structure of KTaPb3.

Unit cell a=5.582 b=5.582 c=5.582 alpha=90.00 beta=90.00 gamma=90.00
Atoms (fractional coordinates):
K (0.000, 0.000, 0.000)
Ta (0.500, 0.500, 0.500)
Pb (0.000, 0.500, 0.500)
Pb (0.500, 0.000, 0.500)
Pb (0.500, 0.500, 0.000)

Output
ρ: 8.04 g cm⁻³

So which one is most stable? That would be model 2, about 1745 meV per atom below the next structure.

Model 1:
Density functional theory data (PBE) for an optimized crystal structure of K2TaPb2.

Unit cell a=7.792 b=7.792 c=6.164 alpha=90.00 beta=90.00 gamma=90.00
Atoms (fractional coordinates):
K (0.159, 0.341, 0.000)
K (0.341, 0.841, 0.000)
K (0.659, 0.159, 0.000)
K (0.841, 0.659, 0.000)
Ta (0.000, 0.000, 0.500)
Ta (0.500, 0.500, 0.500)
Pb (0.196, 0.696, 0.500)
Pb (0.304, 0.196, 0.500)
Pb (0.696, 0.804, 0.500)
Pb (0.804, 0.304, 0.500)

Output
ρ: 5.98 g cm⁻³

Model 2:
Density functional theory data (PBE) for an optimized crystal structure of K2TaPb2.

Unit cell a=4.155 b=4.155 c=16.607 alpha=90.00 beta=90.00 gamma=90.00
Atoms (fractional coordinates):
K (0.000, 0.500, 0.250)
K (0.000, 0.500, 0.750)
K (0.500, 0.000, 0.250)
K (0.500, 0.000, 0.750)
Ta (0.000, 0.000, 0.000)
Ta (0.500, 0.500, 0.500)
Pb (0.000, 0.000, 0.412)
Pb (0.000, 0.000, 0.588)
Pb (0.500, 0.500, 0.088)
Pb (0.500, 0.500, 0.912)

Output
ρ: 7.80 g cm⁻³

So which one is most stable? That would be model 1, about 356 meV per atom below the next structure.

Model 1:
Density functional theory data (PBE) for an optimized crystal structure of KTcPb.

Unit cell a=7.415 b=7.415 c=7.415 alpha=90.00 beta=90.00 gamma=90.00
Atoms (fractional coordinates):
K (0.000, 0.000, 0.000)
K (0.000, 0.500, 0.500)
K (0.500, 0.000, 0.500)
K (0.500, 0.500, 0.000)
Tc (0.250, 0.250, 0.750)
Tc (0.250, 0.750, 0.250)
Tc (0.750, 0.250, 0.250)
Tc (0.750, 0.750, 0.750)
Pb (0.250, 0.250, 0.250)
Pb (0.250, 0.750, 0.750)
Pb (0.750, 0.250, 0.750)
Pb (0.750, 0.750, 0.250)

Output
ρ: 5.61 g cm⁻³

Model 2:
Density functional theory data (PBE) for an optimized crystal structure of KTcPb.

Unit cell a=5.253 b=5.253 c=3.261 alpha=90.00 beta=90.00 gamma=120.00
Atoms (fractional coordinates):
K (0.000, 0.000, 0.000)
Tc (0.667, 0.333, 0.502)
Pb (0.333, 0.667, 0.499)

Output
ρ: 7.34 g cm⁻³

So which one is most stable? That would be model 2, about 752 meV per atom below the next structure.

Model 1:
Density functional theory data (PBE) for an optimized crystal structure of KTcPb.

Unit cell a=3.210 b=3.210 c=15.105 alpha=90.00 beta=90.00 gamma=90.00
Atoms (fractional coordinates):
K (0.000, 0.000, 0.000)
K (0.500, 0.500, 0.500)
Tc (0.000, 0.000, 0.680)
Tc (0.500, 0.500, 0.180)
Pb (0.000, 0.000, 0.302)
Pb (0.500, 0.500, 0.802)

Output
ρ: 7.35 g cm⁻³

Model 2:
Density functional theory data (PBE) for an optimized crystal structure of KTcPb.

Unit cell a=3.224 b=4.364 c=12.716 alpha=90.00 beta=90.00 gamma=90.00
Atoms (fractional coordinates):
K (0.000, 0.000, 0.000)
K (0.500, 0.500, 0.500)
Tc (0.000, 0.000, 0.736)
Tc (0.500, 0.500, 0.236)
Pb (0.000, 0.000, 0.265)
Pb (0.500, 0.500, 0.765)

Output
ρ: 6.39 g cm⁻³

So which one is most stable? That would be model 2, about 119 meV per atom below the next structure.

Model 1:
Density functional theory data (PBE) for an optimized crystal structure of KTePb.

Unit cell a=5.336 b=6.430 c=17.076 alpha=90.00 beta=90.00 gamma=90.00
Atoms (fractional coordinates):
K (0.000, 0.000, 0.150)
K (0.000, 0.000, 0.850)
K (0.500, 0.500, 0.350)
K (0.500, 0.500, 0.650)
Te (0.000, 0.000, 0.355)
Te (0.000, 0.000, 0.645)
Te (0.500, 0.500, 0.145)
Te (0.500, 0.500, 0.855)
Pb (0.000, 0.271, 0.500)
Pb (0.000, 0.729, 0.500)
Pb (0.500, 0.229, 0.000)
Pb (0.500, 0.771, 0.000)

Output
ρ: 4.24 g cm⁻³

Model 2:
Density functional theory data (PBE) for an optimized crystal structure of KTePb.

Unit cell a=5.966 b=5.982 c=12.473 alpha=90.00 beta=90.00 gamma=90.00
Atoms (fractional coordinates):
K (0.000, 0.000, 0.000)
K (0.000, 0.500, 0.500)
K (0.500, 0.000, 0.500)
K (0.500, 0.500, 0.000)
Te (0.000, 0.000, 0.691)
Te (0.000, 0.500, 0.191)
Te (0.500, 0.000, 0.191)
Te (0.500, 0.500, 0.691)
Pb (0.000, 0.000, 0.289)
Pb (0.000, 0.500, 0.789)
Pb (0.500, 0.000, 0.789)
Pb (0.500, 0.500, 0.289)

Output
ρ: 5.58 g cm⁻³

Model 3:
Density functional theory data (PBE) for an optimized crystal structure of KTePb.

Unit cell a=5.440 b=5.440 c=4.480 alpha=90.00 beta=90.00 gamma=120.00
Atoms (fractional coordinates):
K (0.000, 0.000, 0.000)
Te (0.333, 0.667, 0.503)
Pb (0.667, 0.333, 0.498)

Output
ρ: 5.41 g cm⁻³

So which one is most stable? That would be model 3, about 28 meV per atom below the next structure.

Model 1:
Density functional theory data (PBE) for an optimized crystal structure of KTePb.

Unit cell a=4.722 b=4.797 c=9.979 alpha=90.00 beta=90.00 gamma=90.00
Atoms (fractional coordinates):
K (0.000, 0.000, 0.000)
K (0.500, 0.500, 0.500)
Te (0.000, 0.000, 0.367)
Te (0.500, 0.500, 0.867)
Pb (0.000, 0.000, 0.659)
Pb (0.500, 0.500, 0.159)

Output
ρ: 5.49 g cm⁻³

Model 2:
Density functional theory data (PBE) for an optimized crystal structure of KTePb.

Unit cell a=12.137 b=5.939 c=7.770 alpha=90.00 beta=125.26 gamma=90.00
Atoms (fractional coordinates):
K (0.026, 0.000, 0.293)
K (0.474, 0.500, 0.707)
K (0.526, 0.500, 0.293)
K (0.974, 0.000, 0.707)
Te (0.206, 0.500, 0.752)
Te (0.294, 0.000, 0.248)
Te (0.706, 0.000, 0.752)
Te (0.794, 0.500, 0.248)
Pb (0.167, 0.500, 0.123)
Pb (0.333, 0.000, 0.877)
Pb (0.667, 0.000, 0.123)
Pb (0.833, 0.500, 0.877)

Output
ρ: 5.43 g cm⁻³

So which one is most stable? That would be model 2, about 176 meV per atom below the next structure.

Model 1:
Density functional theory data (PBE) for an optimized crystal structure of K2TePb2.

Unit cell a=5.071 b=5.071 c=15.431 alpha=90.00 beta=90.00 gamma=90.00
Atoms (fractional coordinates):
K (0.000, 0.500, 0.250)
K (0.000, 0.500, 0.750)
K (0.500, 0.000, 0.250)
K (0.500, 0.000, 0.750)
Te (0.000, 0.000, 0.000)
Te (0.500, 0.500, 0.500)
Pb (0.000, 0.000, 0.410)
Pb (0.000, 0.000, 0.590)
Pb (0.500, 0.500, 0.090)
Pb (0.500, 0.500, 0.910)

Output
ρ: 5.19 g cm⁻³

Model 2:
Density functional theory data (PBE) for an optimized crystal structure of K2TePb2.

Unit cell a=8.365 b=8.365 c=5.625 alpha=90.00 beta=90.00 gamma=90.00
Atoms (fractional coordinates):
K (0.182, 0.318, 0.000)
K (0.318, 0.818, 0.000)
K (0.682, 0.182, 0.000)
K (0.818, 0.682, 0.000)
Te (0.000, 0.000, 0.500)
Te (0.500, 0.500, 0.500)
Pb (0.127, 0.627, 0.500)
Pb (0.373, 0.127, 0.500)
Pb (0.627, 0.873, 0.500)
Pb (0.873, 0.373, 0.500)

Output
ρ: 5.23 g cm⁻³

So which one is most stable? That would be model 2, about 351 meV per atom below the next structure.

Model 1:
Density functional theory data (PBE) for an optimized crystal structure of KTePb3.

Unit cell a=6.007 b=6.007 c=6.007 alpha=90.00 beta=90.00 gamma=90.00
Atoms (fractional coordinates):
K (0.000, 0.000, 0.000)
Te (0.500, 0.500, 0.500)
Pb (0.000, 0.000, 0.500)
Pb (0.000, 0.500, 0.000)
Pb (0.500, 0.000, 0.000)

Output
ρ: 6.04 g cm⁻³

Model 2:
Density functional theory data (PBE) for an optimized crystal structure of KTePb3.

Unit cell a=6.112 b=6.112 c=6.112 alpha=90.00 beta=90.00 gamma=90.00
Atoms (fractional coordinates):
K (0.000, 0.000, 0.000)
Te (0.500, 0.500, 0.500)
Pb (0.000, 0.500, 0.500)
Pb (0.500, 0.000, 0.500)
Pb (0.500, 0.500, 0.000)

Output
ρ: 5.73 g cm⁻³

So which one is most stable? That would be model 2, about 755 meV per atom below the next structure.